# 1
Density functional theory data (PBE) for crystalline HfGeHRh2 at its relaxed geometry.

**Symmetry**: P4/mmm (123)
**Energy**: -35.0 eV for the cell shown
**M_tot**: 0.000 Bohr magnetons per cell

a b c (Å): 4.0055 4.0055 4.1103
angles (deg): 90.00 90.00 90.00
Positions (direct):
Hf 0.0000 0.0000 0.0000
Ge 0.5000 0.5000 0.0000
H 0.0000 0.0000 0.5000
Rh 0.0000 0.5000 0.5000
Rh 0.5000 0.0000 0.5000

---

# 2
Density functional theory data (PBE) for crystalline HfGeH2Ru at its relaxed geometry.

**Symmetry**: P4/mmm (123)
**Energy**: -29.0 eV for the cell shown
**M_tot**: 0.298 Bohr magnetons per cell

a b c (Å): 3.5907 3.5907 5.3932
angles (deg): 90.00 90.00 90.00
Positions (direct):
Hf 0.0000 0.0000 0.0000
Ge 0.0000 0.0000 0.5000
H 0.0000 0.5000 0.0000
H 0.5000 0.0000 0.0000
Ru 0.5000 0.5000 0.5000

---

# 3
Density functional theory data (PBE) for crystalline HfSc2GeH at its relaxed geometry.

**Symmetry**: P4/mmm (123)
**Energy**: -32.7 eV for the cell shown
**M_tot**: 0.000 Bohr magnetons per cell

a b c (Å): 4.3284 4.3284 4.3308
angles (deg): 90.00 90.00 90.00
Positions (direct):
Hf 0.0000 0.0000 0.0000
Sc 0.0000 0.5000 0.5000
Sc 0.5000 0.0000 0.5000
Ge 0.5000 0.5000 0.0000
H 0.0000 0.0000 0.5000

---

# 4
Density functional theory data (PBE) for crystalline HfGeHSe2 at its relaxed geometry.

**Symmetry**: P4/mmm (123)
**Energy**: -26.6 eV for the cell shown
**M_tot**: 0.000 Bohr magnetons per cell

a b c (Å): 5.1860 5.1860 3.7830
angles (deg): 90.00 90.00 90.00
Positions (direct):
Hf 0.0000 0.0000 0.0000
Ge 0.5000 0.5000 0.5000
H 0.0000 0.0000 0.5000
Se 0.0000 0.5000 0.0000
Se 0.5000 0.0000 0.0000

---

# 5
Density functional theory data (PBE) for crystalline HfTc2GeH at its relaxed geometry.

**Symmetry**: P4/mmm (123)
**Energy**: -39.6 eV for the cell shown
**M_tot**: 0.000 Bohr magnetons per cell

a b c (Å): 4.0950 4.0950 3.9301
angles (deg): 90.00 90.00 90.00
Positions (direct):
Hf 0.0000 0.0000 0.0000
Tc 0.0000 0.5000 0.5000
Tc 0.5000 0.0000 0.5000
Ge 0.5000 0.5000 0.0000
H 0.0000 0.0000 0.5000

---

# 6
Density functional theory data (PBE) for crystalline HfTcGeH at its relaxed geometry.

**Symmetry**: P4/nmm (129)
**Energy**: -59.0 eV for the cell shown
**M_tot**: 0.199 Bohr magnetons per cell

a b c (Å): 3.8966 3.8966 7.0149
angles (deg): 90.00 90.00 90.00
Positions (direct):
Hf 0.2500 0.2500 0.1563
Hf 0.7500 0.7500 0.8437
Tc 0.2500 0.7500 0.5000
Tc 0.7500 0.2500 0.5000
Ge 0.2500 0.2500 0.7345
Ge 0.7500 0.7500 0.2655
H 0.2500 0.7500 0.0000
H 0.7500 0.2500 0.0000

---

> Which of these has the lowest energy?

HfTcGeH